# 1
The following is a DFT calculation (PBE-GGA) of a relaxed structure of ThAl2GaPd2.

Output
symmetry = P4/mmm, No. 123
N(E_F) = 2.93 states/eV/cell
energy of formation from the pure elements = -0.40 eV/atom
total magnetic moment = 0.00 μB per formula unit
total DFT energy (no corrections) = -5.12 eV per atom

abc: 4.624 4.624 5.726
angles: 90.00 90.00 90.00
Fractional positions:
1 Th 0.000 0.000 0.500
2 Pd 0.000 0.500 0.000
3 Pd 0.500 0.000 0.000
4 Ga 0.000 0.000 0.000
5 Al 0.500 0.500 0.263
6 Al 0.500 0.500 0.737

---

# 2
The following is a DFT calculation (PBE-GGA) of a relaxed structure of CaAl2V.

Output
symmetry = I-42d, No. 122
N(E_F) = 6.43 states/eV/cell
energy of formation from the pure elements = 0.50 eV/atom
total magnetic moment = 3.19 μB per formula unit
total DFT energy (no corrections) = -4.15 eV per atom

abc: 4.785 4.785 9.865
angles: 75.97 75.97 90.00
Each line ends with the local moment (μB).
Fractional positions:
1 Al 0.875 0.030 0.750  -0.02
2 Al 0.970 0.625 0.250  -0.02
3 Al 0.780 0.125 0.250  -0.02
4 Al 0.375 0.220 0.750  -0.02
5 V 0.750 0.250 0.500  2.53
6 V 0.000 0.000 0.000  2.53
7 Ca 0.250 0.750 0.500  0.04
8 Ca 0.500 0.500 0.000  0.04

---

# 3
The following is a DFT calculation (PBE-GGA) of a relaxed structure of Cr2B2Os.

Output
symmetry = P4/mbm, No. 127
N(E_F) = 11.47 states/eV/cell
energy of formation from the pure elements = -0.29 eV/atom
total magnetic moment = 0.00 μB per formula unit
total DFT energy (no corrections) = -9.06 eV per atom

abc: 5.758 5.758 2.911
angles: 90.00 90.00 90.00
Fractional positions:
1 B 0.885 0.615 0.000
2 B 0.115 0.385 0.000
3 B 0.615 0.115 0.000
4 B 0.385 0.885 0.000
5 Os 0.500 0.500 0.000
6 Os 0.000 0.000 0.000
7 Cr 0.665 0.835 0.500
8 Cr 0.835 0.335 0.500
9 Cr 0.165 0.665 0.500
10 Cr 0.335 0.165 0.500

---

- Which of these has the highest energy of formation from the pure elements?
  CaAl2V